1.
NpP2Ir2Rh (PBE-GGA, optimized geometry); E_form = -0.49 eV/atom; final energy = -8.633 eV per atom
1.0
-2.1348 -3.0208 0.7320
4.3947 -3.9102 -3.3194
3.9008 -1.1710 6.5438
Ir Np Rh P
4 2 2 4
Direct
0.0000 0.3298 0.1426 Ir
0.5000 0.5104 0.8842 Ir
0.5000 0.0104 0.1158 Ir
0.0000 0.8298 0.8574 Ir
0.0000 0.5069 0.5299 Np
0.0000 0.0069 0.4701 Np
0.5000 0.6217 0.2338 Rh
0.5000 0.1217 0.7662 Rh
0.5000 0.2737 0.3134 P
0.0000 0.8031 0.1580 P
0.0000 0.3031 0.8420 P
0.5000 0.7737 0.6866 P

***

2.
NpP2IrRh2 (PBE-GGA, optimized geometry); E_form = -0.60 eV/atom; final energy = -8.484 eV per atom
1.0
3.8618 0.0000 0.0000
0.0000 6.2423 0.0000
0.0000 0.0000 7.8745
Rh P Ir Np
4 4 2 2
Direct
0.5000 0.5263 0.9062 Rh
0.0000 0.8600 0.8519 Rh
0.5000 0.0263 0.0938 Rh
0.0000 0.3600 0.1481 Rh
0.0000 0.2629 0.8685 P
0.5000 0.2708 0.3155 P
0.5000 0.7708 0.6845 P
0.0000 0.7629 0.1315 P
0.5000 0.1408 0.7300 Ir
0.5000 0.6408 0.2700 Ir
0.0000 0.4848 0.5525 Np
0.0000 0.9848 0.4475 Np

***

3.
Np2P3Ir4Rh (PBE-GGA, optimized geometry); E_form = -0.55 eV/atom; final energy = -9.045 eV per atom
1.0
-0.5316 2.9108 2.5657
-3.7726 -0.9933 0.3452
2.5219 -6.7395 8.1685
Rh Ir Np P
1 4 2 3
Direct
0.5000 0.5000 0.5000 Rh
0.0000 0.5000 0.3300 Ir
0.0000 0.0000 0.0000 Ir
0.5000 0.5000 0.0000 Ir
0.5000 0.0000 0.6700 Ir
0.5000 0.0000 0.2570 Np
0.0000 0.5000 0.7430 Np
0.0000 0.0000 0.5000 P
0.0000 0.5000 0.1241 P
0.5000 0.0000 0.8759 P

***

4.
NpP2IrRu2 (PBE-GGA, optimized geometry); E_form = -0.52 eV/atom; final energy = -9.047 eV per atom
1.0
3.9312 0.0000 0.0000
0.0000 6.3053 0.0000
0.0000 0.0000 7.5183
Ru Np P Ir
4 2 4 2
Direct
0.5000 0.0453 0.0818 Ru
0.0000 0.8625 0.8388 Ru
0.5000 0.5453 0.9182 Ru
0.0000 0.3625 0.1612 Ru
0.0000 0.4794 0.5675 Np
0.0000 0.9794 0.4325 Np
0.5000 0.2734 0.3221 P
0.0000 0.2313 0.8840 P
0.0000 0.7313 0.1160 P
0.5000 0.7734 0.6779 P
0.5000 0.6537 0.2801 Ir
0.5000 0.1537 0.7199 Ir

***

5.
Np2P3Ir4Ru (PBE-GGA, optimized geometry); E_form = -0.48 eV/atom; final energy = -9.160 eV per atom
1.0
3.9179 0.0000 0.0000
0.0000 3.9179 0.0000
0.0000 0.0000 10.8193
Ir P Ru Np
4 3 1 2
Direct
0.5000 0.0000 0.6662 Ir
0.5000 0.5000 0.0000 Ir
0.0000 0.5000 0.3338 Ir
0.0000 0.0000 0.0000 Ir
0.0000 0.0000 0.5000 P
0.5000 0.0000 0.8745 P
0.0000 0.5000 0.1255 P
0.5000 0.5000 0.5000 Ru
0.5000 0.0000 0.2552 Np
0.0000 0.5000 0.7448 Np

***

6.
NpTc2P2Ir (PBE-GGA, optimized geometry); E_form = -0.49 eV/atom; final energy = -9.386 eV per atom
1.0
4.0081 0.0000 0.0000
0.0000 6.0681 0.0000
0.0000 0.0000 7.6415
Tc P Ir Np
4 4 2 2
Direct
0.0000 0.8687 0.8323 Tc
0.5000 0.5331 0.9356 Tc
0.0000 0.3687 0.1677 Tc
0.5000 0.0331 0.0644 Tc
0.5000 0.2638 0.3201 P
0.0000 0.7508 0.1154 P
0.5000 0.7638 0.6799 P
0.0000 0.2507 0.8846 P
0.5000 0.6552 0.2905 Ir
0.5000 0.1552 0.7095 Ir
0.0000 0.9740 0.4366 Np
0.0000 0.4740 0.5634 Np

***

7.
Th2NpP3Ir4 (PBE-GGA, optimized geometry); E_form = -0.85 eV/atom; final energy = -8.799 eV per atom
1.0
4.0506 0.0000 0.0000
0.0000 4.0506 0.0000
0.0000 0.0000 11.2665
Ir P Th Np
4 3 2 1
Direct
0.0000 0.0000 0.0000 Ir
0.5000 0.0000 0.6694 Ir
0.0000 0.5000 0.3306 Ir
0.5000 0.5000 0.0000 Ir
0.0000 0.0000 0.5000 P
0.0000 0.5000 0.1231 P
0.5000 0.0000 0.8769 P
0.5000 0.0000 0.2293 Th
0.0000 0.5000 0.7707 Th
0.5000 0.5000 0.5000 Np

***

8.
TmNpP2Ir5 (PBE-GGA, optimized geometry); E_form = -0.48 eV/atom; final energy = -8.536 eV per atom
1.0
4.0067 0.0000 0.0000
0.0000 4.0067 0.0000
0.0000 0.0000 10.9728
Tm Np Ir P
1 1 5 2
Direct
0.0000 0.0000 0.0000 Tm
0.0000 0.0000 0.5000 Np
0.5000 0.0000 0.8063 Ir
0.5000 0.0000 0.1937 Ir
0.0000 0.5000 0.8063 Ir
0.0000 0.5000 0.1937 Ir
0.5000 0.5000 0.5000 Ir
0.5000 0.5000 0.7095 P
0.5000 0.5000 0.2905 P

***

9.
NpVP2Ir (PBE-GGA, optimized geometry); E_form = -0.67 eV/atom; final energy = -9.017 eV per atom
1.0
-2.4056 3.0825 0.3138
-3.0739 -2.4241 0.2477
3.2572 -0.4544 4.9153
Np Ir V P
1 1 1 2
Direct
0.0000 0.0000 0.0000 Np
0.7500 0.2500 0.5000 Ir
0.2500 0.7500 0.5000 V
0.6190 0.6190 0.2379 P
0.3810 0.3810 0.7621 P

***

10.
Np2PaIr (PBE-GGA, optimized geometry); E_form = 0.04 eV/atom; final energy = -11.022 eV per atom
1.0
-1.1310 0.3476 4.7171
0.7105 -3.7951 2.9570
3.5289 0.1487 3.3421
Pa Ir Np
1 1 2
Direct
0.5000 0.5000 0.5000 Pa
0.0000 0.0000 0.0000 Ir
0.2499 0.2499 0.2502 Np
0.7501 0.7501 0.7498 Np

***

11.
NpPaIrPd (PBE-GGA, optimized geometry); E above lowest polymorph = 0.00 kJ/mol of atoms; E_form = -0.54 eV/atom; final energy = -9.662 eV per atom
1.0
4.7107 0.0000 0.0000
2.3553 4.0796 0.0000
2.3553 1.3599 3.8462
Pd Ir Pa Np
1 1 1 1
Direct
0.5000 0.5000 0.5000 Pd
0.2500 0.2500 0.2500 Ir
0.0000 0.0000 0.0000 Pa
0.7500 0.7500 0.7500 Np

***

12.
NpPaIrPd (PBE-GGA, optimized geometry); E above lowest polymorph = 19.30 kJ/mol of atoms; E_form = -0.34 eV/atom; final energy = -9.462 eV per atom
1.0
-1.2398 4.5145 1.4725
-4.2987 1.9331 -1.3675
-3.5790 0.6075 3.3027
Pa Pd Np Ir
1 1 1 1
Direct
0.2500 0.2500 0.2500 Pa
0.5000 0.5000 0.5000 Pd
0.7500 0.7500 0.7500 Np
0.0000 0.0000 0.0000 Ir